Below is a geometry-optimized Tb2MgTl2 structure, with properties calculated at the PBE level.

The value obtained for the formation energy is -297 meV/atom. The density of states at the Fermi level is 4.03 states/eV/f.u. The total magnetic moment comes out at 0.0 μB/f.u.

Lattice parameters (Å, degrees): 7.7810 7.7810 4.5527 90.00 90.00 90.00
Last column: nearest neighbours and their distance in Å.
Space group P4/mbm (No. 127)
Inequivalent atoms, fractional coordinates:
1 Tb 0.1675 0.3325 0.0000 (multiplicity 4)  6 Tl 3.12-3.30
2 Mg 0.0000 0.0000 0.5000 (multiplicity 2)  4 Tl 3.01
3 Tl 0.1384 0.6384 0.5000 (multiplicity 4)  2 Mg 3.01, 1 Tl 3.05, 6 Tb 3.12-3.30

Below is a geometry-optimized HfMg14BO15 structure, with properties calculated at the PBE level.

The density of states at the Fermi level is 3.86 states/eV/f.u. As for the formation energy without anion corrections: -2.317 eV per atom. The total magnetic moment comes out at 0.2 μB/f.u.

Lattice parameters (Å, degrees): 4.3158 8.9219 8.4916 90.00 90.00 90.00
Last column: nearest neighbours and their distance in Å.
Space group Pmm2 (No. 25)
Inequivalent atoms, fractional coordinates:
1 Hf 0.0000 0.0000 0.0000 (multiplicity 1)  4 O 2.03-2.16
2 Mg 0.0000 0.0000 0.4725 (multiplicity 1)  5 O 2.14-2.24
3 Mg 0.0000 0.2363 0.7296 (multiplicity 2)  5 O 2.07-2.16
4 Mg 0.0000 0.2758 0.2295 (multiplicity 2)  5 O 2.02-2.20
5 Mg 0.0000 0.5000 0.4869 (multiplicity 1)  3 O 1.94-2.16
6 Mg 0.5000 0.0000 0.2355 (multiplicity 1)  2 O 2.08-2.15
7 Mg 0.5000 0.0000 0.7276 (multiplicity 1)  6 O 2.10-2.21
8 Mg 0.5000 0.2544 0.4797 (multiplicity 2)  6 O 2.12-2.27
9 Mg 0.5000 0.2703 0.9809 (multiplicity 2)  5 O 2.05-2.19
10 Mg 0.5000 0.5000 0.2209 (multiplicity 1)  6 O 2.11-2.34
11 Mg 0.5000 0.5000 0.7338 (multiplicity 1)  4 O 1.98-2.16
12 B 0.0000 0.5000 0.9146 (multiplicity 1)  1 O 1.42
13 O 0.0000 0.0000 0.7243 (multiplicity 1)  5 Mg 2.11-2.16, 1 Hf 2.34
14 O 0.0000 0.2260 0.9773 (multiplicity 2)  1 Hf 2.03, 4 Mg 2.11-2.19
15 O 0.0000 0.2512 0.4867 (multiplicity 2)  6 Mg 2.07-2.24
16 O 0.0000 0.5000 0.2587 (multiplicity 1)  3 Mg 1.94-2.02
17 O 0.0000 0.5000 0.7473 (multiplicity 1)  1 B 1.42
18 O 0.5000 0.0000 0.4804 (multiplicity 1)  6 Mg 2.08-2.27
19 O 0.5000 0.0000 0.9822 (multiplicity 1)  2 Mg 2.15-2.16, 2 Hf 2.16
20 O 0.5000 0.2476 0.7322 (multiplicity 2)  6 Mg 2.12-2.25
21 O 0.5000 0.2632 0.2297 (multiplicity 2)  6 Mg 2.11-2.35
22 O 0.5000 0.5000 0.4969 (multiplicity 1)  5 Mg 2.01-2.20
23 O 0.5000 0.5000 0.9675 (multiplicity 1)  4 Mg 1.98-2.15, 2 B 2.20

Below is a geometry-optimized Pr2Dy12Er structure, with properties calculated at the PBE level.

The value obtained for the formation energy is 329 meV/atom. The density of states at the Fermi level is 21.63 states/eV/f.u. The total magnetic moment comes out at 0.0 μB/f.u.

Lattice parameters (Å, degrees): 6.4299 6.4299 24.9867 90.00 90.00 90.00
Last column: nearest neighbours and their distance in Å.
Space group P4/nbm (No. 125, origin choice 2)
Inequivalent atoms, fractional coordinates:
1 Pr 0.2500 0.7500 0.2303 (multiplicity 4)  8 Dy 3.50-3.66
2 Dy 0.0633 0.5633 0.3854 (multiplicity 8)  7 Dy 3.32-3.43, 1 Er 3.33
3 Dy 0.0816 0.5816 0.9396 (multiplicity 8)  6 Dy 3.06-3.38
4 Dy 0.2500 0.2500 0.1601 (multiplicity 4)  5 Dy 3.13-3.45
5 Dy 0.2500 0.2500 0.2855 (multiplicity 4)  5 Dy 3.13-3.43, 4 Pr 3.50
6 Er 0.2500 0.7500 0.5000 (multiplicity 2)  4 Dy 3.33

Below is a geometry-optimized K5Rb6 structure, with properties calculated at the PBE level.

The value obtained for the formation energy is 21 meV/atom. The density of states at the Fermi level is 9.32 states/eV/f.u. The total magnetic moment comes out at 0.0 μB/f.u.

Lattice parameters (Å, degrees): 14.5483 18.9738 7.6810 90.00 119.84 90.00
Last column: nearest neighbours and their distance in Å.
Space group C2/m (No. 12)
Inequivalent atoms, fractional coordinates:
1 K 0.0000 0.0000 0.0000 (multiplicity 2)  4 K 4.61, 4 Rb 4.76
2 K 0.0000 0.1347 0.5000 (multiplicity 4)  5 K 4.61-5.11, 4 Rb 4.69-4.79
3 K 0.0000 0.2775 0.0000 (multiplicity 4)  8 Rb 4.52-4.85, 2 K 4.70
4 Rb 0.1887 0.5000 0.1875 (multiplicity 4)  4 K 4.69-4.85, 5 Rb 4.76-4.79
5 Rb 0.1977 0.3501 0.6946 (multiplicity 8)  5 K 4.52-4.83, 3 Rb 4.77-4.99

Below is a geometry-optimized MgBePt2 structure, with properties calculated at the PBE level.

The value obtained for the formation energy is -166 meV/atom. The density of states at the Fermi level is 1.38 states/eV/f.u. The total magnetic moment comes out at 0.0 μB/f.u.

Lattice parameters (Å, degrees): 2.8217 4.3309 10.2897 90.00 90.00 90.00
Last column: nearest neighbours and their distance in Å.
Space group Immm (No. 71)
Inequivalent atoms, fractional coordinates:
1 Mg 0.0000 0.0000 0.0000 (multiplicity 2)  4 Be 2.58, 2 Mg 2.82
2 Be 0.0000 0.0000 0.5000 (multiplicity 2)  2 Pt 2.02
3 Pt 0.0000 0.0000 0.3032 (multiplicity 4)  1 Be 2.02

Below is a geometry-optimized Ba2CuSi structure, with properties calculated at the PBE level.

The density of states at the Fermi level is 2.61 states/eV/f.u. As for the formation energy without anion corrections: -0.032 eV per atom. The total magnetic moment comes out at 0.0 μB/f.u.

Lattice parameters (Å, degrees): 3.8758 5.7622 5.7685 90.00 90.00 90.00
Last column: nearest neighbours and their distance in Å.
Space group Pmm2 (No. 25)
Inequivalent atoms, fractional coordinates:
1 Ba 0.0000 0.0000 0.0000 (multiplicity 1)  4 Cu 3.47-3.48, 4 Si 3.47, 2 Ba 3.88
2 Ba 0.0000 0.5000 0.4997 (multiplicity 1)  4 Cu 3.47, 4 Si 3.47-3.48, 2 Ba 3.88
3 Cu 0.5000 0.0000 0.5010 (multiplicity 1)  8 Ba 3.47-3.48, 2 Cu 3.88
4 Si 0.5000 0.5000 0.9996 (multiplicity 1)  8 Ba 3.47-3.48, 2 Si 3.88

Below is a geometry-optimized Ce4Sn3H2 structure, with properties calculated at the PBE level.

The density of states at the Fermi level is 21.30 states/eV/f.u. Its total DFT energy (no corrections) is -5.247 eV/atom. The total magnetic moment comes out at 2.9 μB/f.u.

Lattice parameters (Å, degrees): 13.8209 9.6560 6.7139 90.00 105.43 90.00
Last column: nearest neighbours and their distance in Å.
Space group C2/c (No. 15)
Inequivalent atoms, fractional coordinates:
1 Ce 0.1099 0.2228 0.0468 (multiplicity 8)  2 H 2.36-2.39
2 Ce 0.1966 0.4285 0.6019 (multiplicity 8)  2 H 2.30-2.36
3 Sn 0.0000 0.4970 0.2500 (multiplicity 4)  8 Ce 3.16-3.50, 2 H 3.34, 2 Sn 3.36
4 Sn 0.1207 0.1159 0.5845 (multiplicity 8)  6 Ce 3.13-3.36, 3 H 3.26-3.43
5 H 0.2268 0.3641 0.9426 (multiplicity 8)  4 Ce 2.30-2.39, 1 H 2.37

Below is a geometry-optimized KCu2Tc structure, with properties calculated at the PBE level.

The value obtained for the formation energy is 634 meV/atom. The density of states at the Fermi level is 2.05 states/eV/f.u. The total magnetic moment comes out at 0.0 μB/f.u.

Lattice parameters (Å, degrees): 2.7793 2.7793 8.9792 90.00 90.00 90.00
Last column: nearest neighbours and their distance in Å.
Space group P4/mmm (No. 123)
Inequivalent atoms, fractional coordinates:
1 K 0.0000 0.0000 0.0000 (multiplicity 1)  4 K 2.78
2 Cu 0.5000 0.5000 0.3043 (multiplicity 2)  4 Tc 2.64, 4 Cu 2.78
3 Tc 0.0000 0.0000 0.5000 (multiplicity 1)  8 Cu 2.64, 4 Tc 2.78

Below is a geometry-optimized TaSbP structure, with properties calculated at the PBE level.

The density of states at the Fermi level is 3.70 states/eV/f.u. As for the formation energy without anion corrections: 0.473 eV per atom. The total magnetic moment comes out at 0.0 μB/f.u.

Lattice parameters (Å, degrees): 6.2535 6.2535 6.2535 90.00 90.00 90.00
Last column: nearest neighbours and their distance in Å.
Space group F-43m (No. 216)
Inequivalent atoms, fractional coordinates:
1 Ta 0.0000 0.0000 0.0000 (multiplicity 4)  4 P 2.71
2 Sb 0.0000 0.0000 0.5000 (multiplicity 4)  4 P 2.71
3 P 0.2500 0.2500 0.7500 (multiplicity 4)  4 Ta 2.71, 4 Sb 2.71

Below is a geometry-optimized Al2PdS structure, with properties calculated at the PBE level.

The density of states at the Fermi level is 0.01 states/eV/f.u. As for the formation energy without anion corrections: -0.446 eV per atom. The total magnetic moment comes out at 0.0 μB/f.u.

Lattice parameters (Å, degrees): 6.1069 6.1069 8.4664 90.00 90.00 90.00
Last column: nearest neighbours and their distance in Å.
Space group I-42d (No. 122)
Inequivalent atoms, fractional coordinates:
1 Al 0.2433 0.2500 0.1250 (multiplicity 8)  2 S 2.38, 2 Pd 2.43
2 Pd 0.0000 0.0000 0.5000 (multiplicity 4)  4 Al 2.43
3 S 0.0000 0.0000 0.0000 (multiplicity 4)  4 Al 2.38